[1]
The following is a PBE-GGA calculation of crystalline TiBSeN2 at its relaxed geometry, from Alexandria.

abc: 3.320 3.320 5.824
angles: 90.00 90.00 90.00
Positions (direct):
B  0.000  0.000  0.000
Ti  0.500  0.500  0.500
N  0.500  0.000  0.000
N  0.000  0.500  0.000
Se  0.000  0.000  0.500

Calculated values
Electronic total energy ... -6.10 eV/atom
ΔE_f (raw) ... 0.8464 eV per atom
Calculated density ... 4.3 Mg/m³
D(E_F) ... 0.703 states/eV per atom

=====

[2]
The following is a PBE-GGA calculation of crystalline PrDy2Ge at its relaxed geometry, from Alexandria.

abc: 3.802 3.802 10.004
angles: 79.05 79.05 60.00
Positions (direct):
Pr  0.501  0.501  0.497
Dy  0.063  0.063  0.810
Dy  0.270  0.270  0.191
Ge  0.666  0.666  0.001

Calculated values
Electronic total energy ... -4.91 eV/atom
ΔE_f ... -5.89 kcal/mol of atoms
Calculated density ... 7.3 Mg/m³
D(E_F) ... 1.380 states/eV per atom